A.
Compound: KLa2Tc
Source: the Alexandria database
Functional: GGA-PBE
Structure: relaxed

calculated volume: 40.22 Å³/atom
space-group type: R-3m (166)
size of the total moment: 0.00 μB/atom

a b c (Å): 10.6727 10.6727 10.6727
angles (deg): 22.85 22.85 22.85
Positions (direct):
K1 0.7500 0.7500 0.7500
Tc1 0.2500 0.2500 0.2500
La1 0.9643 0.9643 0.9643
La2 0.5357 0.5357 0.5357


B.
Compound: KLa2Tc
Source: the Alexandria database
Functional: GGA-PBE
Structure: relaxed

calculated volume: 40.79 Å³/atom
space-group type: Cm (8)
size of the total moment: 0.00 μB/atom

a b c (Å): 4.2631 4.2631 9.9884
angles (deg): 86.18 86.18 64.38
Positions (direct):
Tc1 0.5735 0.5735 0.2305
La1 0.9952 0.9952 0.1157
La2 0.2982 0.2982 0.3922
K1 0.6331 0.6331 0.7617


Last place for stability: A


A.
Compound: KLa2Tc
Source: the Alexandria database
Functional: GGA-PBE
Structure: relaxed

calculated volume: 41.21 Å³/atom
space-group type: P4mm (99)
size of the total moment: 0.00 μB/atom

a b c (Å): 4.0580 4.0580 10.0104
angles (deg): 90.00 90.00 90.00
Positions (direct):
Tc1 0.0000 0.0000 0.3173
La1 0.5000 0.5000 0.3531
La2 0.0000 0.0000 0.0844
K1 0.5000 0.5000 0.7452


B.
Compound: KLa2Tc
Source: the Alexandria database
Functional: GGA-PBE
Structure: relaxed

calculated volume: 28.34 Å³/atom
space-group type: P4/mmm (123)
size of the total moment: 0.00 μB/atom

a b c (Å): 4.1707 5.2132 5.2132
angles (deg): 90.00 90.00 90.00
Positions (direct):
La1 0.0000 0.5000 0.5000
La2 0.0000 0.0000 0.0000
K1 0.5000 0.0000 0.5000
Tc1 0.5000 0.5000 0.0000


Last place for stability: B